Entry 1:
# AcGaAgHg

A relaxed AcGaAgHg crystal (GGA-PBE, Alexandria via LeMat-Bulk).

It has space group F-43m (No. 216), with a = 7.406 Å, b = 7.406 Å, c = 7.406 Å, α = 90.00°, β = 90.00° and γ = 90.00°. The distinct sites, in fractional coordinates, are Ac at (0.000, 0.000, 0.000), Ga at (0.250, 0.250, 0.750), Ag at (0.000, 0.000, 0.500) and Hg at (0.250, 0.250, 0.250).

Its calculated density is 9.897 g/cm3. The energy relative to the elements comes out at -0.285 eV per atom.



Entry 2:
# Ac2Ga4AgHg3

A relaxed Ac2Ga4AgHg3 crystal (GGA-PBE, Alexandria via LeMat-Bulk).

It has space group P-4m2 (No. 115), with a = 4.643 Å, b = 4.643 Å, c = 11.167 Å, α = 90.00°, β = 90.00° and γ = 90.00°. The distinct sites, in fractional coordinates, are Ac at (0.000, 0.500, 0.247), Ga at (0.000, 0.000, 0.500), Ga at (0.000, 0.500, 0.872), Ga at (0.500, 0.500, 0.500), Ag at (0.500, 0.500, 0.000), Hg at (0.000, 0.000, 0.000) and Hg at (0.000, 0.500, 0.635).

Its calculated density is 9.952 g/cm3. The energy relative to the elements comes out at -0.391 eV per atom.



Entry 3:
# Ac2Ga4Ag3Hg

A relaxed Ac2Ga4Ag3Hg crystal (GGA-PBE, Alexandria via LeMat-Bulk).

It has space group P-4m2 (No. 115), with a = 4.630 Å, b = 4.630 Å, c = 10.787 Å, α = 90.00°, β = 90.00° and γ = 90.00°. The distinct sites, in fractional coordinates, are Ac at (0.000, 0.500, 0.247), Ga at (0.000, 0.000, 0.000), Ga at (0.000, 0.500, 0.638), Ga at (0.500, 0.500, 0.000), Ag at (0.000, 0.500, 0.876), Ag at (0.500, 0.500, 0.500) and Hg at (0.000, 0.000, 0.500).

Its calculated density is 9.025 g/cm3. The energy relative to the elements comes out at -0.383 eV per atom.



Entry 4:
# Ac4GaAg2Hg

A relaxed Ac4GaAg2Hg crystal (GGA-PBE, Alexandria via LeMat-Bulk).

It has space group R-3m (No. 166, hexagonal axes), with a = 5.6159 Å, b = 5.6159 Å, c = 27.6153 Å, α = 90.00°, β = 90.00° and γ = 120.00°. The distinct sites, in fractional coordinates, are Ac at (0.0000, 0.0000, 0.1229), Ac at (0.0000, 0.0000, 0.3732), Ga at (0.0000, 0.0000, 0.0000), Ag at (0.0000, 0.0000, 0.2493) and Hg at (0.0000, 0.0000, 0.5000).

Its calculated density is 9.207 g/cm3. The energy relative to the elements comes out at -0.366 eV per atom.



Entry 5:
# Ac8Ga3AgI4

A relaxed Ac8Ga3AgI4 crystal (GGA-PBE, Alexandria via LeMat-Bulk).

It has space group R-3m (No. 166, hexagonal axes), with a = 9.4300 Å, b = 9.4300 Å, c = 23.7532 Å, α = 90.00°, β = 90.00° and γ = 120.00°. The distinct sites, in fractional coordinates, are Ac at (0.0000, 0.0000, 0.2365), Ac at (0.0074, 0.5037, 0.7632), Ga at (0.0000, 0.5000, 0.5000), Ag at (0.0000, 0.0000, 0.5000), I at (0.0000, 0.0000, 0.0000) and I at (0.0000, 0.5000, 0.0000).

Its calculated density is 7.191 g/cm3. The total energy comes out at -186.872 eV/cell.



Entry 6:
# AcInGaAg2

A relaxed AcInGaAg2 crystal (GGA-PBE, Alexandria via LeMat-Bulk).

It has space group Imm2 (No. 44), with a = 4.522 Å, b = 4.599 Å, c = 11.673 Å, α = 90.00°, β = 90.00° and γ = 90.00°. The distinct sites, in fractional coordinates, are Ac at (0.000, 0.000, 0.000), In at (0.000, 0.500, 0.754), Ga at (0.000, 0.000, 0.394), Ag at (0.000, 0.000, 0.615) and Ag at (0.000, 0.500, 0.269).

Its calculated density is 8.582 g/cm3. The energy relative to the elements comes out at -0.353 eV per atom.



Entry 7:
# Ac2InGa4Ag3

A relaxed Ac2InGa4Ag3 crystal (GGA-PBE, Alexandria via LeMat-Bulk).

It has space group P-4m2 (No. 115), with a = 4.546 Å, b = 4.546 Å, c = 11.230 Å, α = 90.00°, β = 90.00° and γ = 90.00°. The distinct sites, in fractional coordinates, are Ac at (0.000, 0.500, 0.243), In at (0.000, 0.000, 0.500), Ga at (0.000, 0.000, 0.000), Ga at (0.000, 0.500, 0.643), Ga at (0.500, 0.500, 0.000), Ag at (0.000, 0.500, 0.874) and Ag at (0.500, 0.500, 0.500).

Its calculated density is 8.382 g/cm3. The energy relative to the elements comes out at -0.408 eV per atom.



Entry 8:
# AcIn2GaAg2

A relaxed AcIn2GaAg2 crystal (GGA-PBE, Alexandria via LeMat-Bulk).

It has space group I4/mmm (No. 139), with a = 5.321 Å, b = 5.321 Å, c = 11.991 Å, α = 90.00°, β = 90.00° and γ = 90.00°. The distinct sites, in fractional coordinates, are Ac at (0.000, 0.000, 0.000), In at (0.000, 0.500, 0.250), Ga at (0.000, 0.000, 0.500) and Ag at (0.000, 0.000, 0.296).

Its calculated density is 7.259 g/cm3. The energy relative to the elements comes out at 0.029 eV per atom.